Material: ScSb2TeO
Method: DFT, PBE-GGA
State: optimized geometry

Lattice parameters (Å, degrees): 4.758 4.758 4.858 90.00 90.00 90.00
Space group P4/mmm (No. 123)
One atom of each set of equivalent atoms:
Sc  0.000  0.000  0.000 (multiplicity 1)
Sb  0.000  0.500  0.500 (multiplicity 2)
Te  0.500  0.500  0.000 (multiplicity 1)
O  0.500  0.500  0.500 (multiplicity 1)

Summary:
Offset from the most stable computed form = 0 meV per atom
Total energy = -0.1802 hartree per atom
ΔE_f (raw) = -0.3679 eV/atom
Mass density = 6.5 g cm⁻³
DOS at the Fermi energy = 2.73 states/eV per cell
V = 21.99 Å³ per atom

***

Material: Cs2PrBS4
Method: DFT, PBE-GGA
State: optimized geometry

Lattice parameters (Å, degrees): 6.062 14.697 25.978 90.00 90.00 90.00
Space group Fddd (No. 70, origin choice 2)
One atom of each set of equivalent atoms:
Cs  0.125  0.125  0.303 (multiplicity 16)
Pr  0.125  0.125  0.125 (multiplicity 8)
B  0.125  0.125  0.625 (multiplicity 8)
S  0.042  0.292  0.828 (multiplicity 32)

Summary:
Total energy = -0.1762 hartree per atom
ΔE_f (raw) = -1.0854 eV/atom
Mass density = 3.1 g cm⁻³
DOS at the Fermi energy = 0.00 states/eV per cell
V = 36.16 Å³ per atom

***

Material: La2Pm7Nd
Method: DFT, PBE-GGA
State: optimized geometry

Lattice parameters (Å, degrees): 12.060 16.992 3.556 90.00 90.00 90.00
Space group Cmmm (No. 65)
One atom of each set of equivalent atoms:
La  0.000  0.174  0.000 (multiplicity 4)
Pm  0.000  0.326  0.500 (multiplicity 4)
Pm  0.000  0.500  0.000 (multiplicity 2)
Pm  0.245  0.373  0.000 (multiplicity 8)
Nd  0.000  0.000  0.500 (multiplicity 2)

Summary:
Offset from the most stable computed form = 216 meV per atom
Total energy = -0.1626 hartree per atom
Mass density = 6.5 g cm⁻³
DOS at the Fermi energy = 31.71 states/eV per cell
V = 36.44 Å³ per atom

***

Material: Ca2La6CoRu
Method: DFT, PBE-GGA
State: optimized geometry

Lattice parameters (Å, degrees): 11.190 11.221 11.216 90.00 90.00 90.00
Space group Fmm2 (No. 42)
One atom of each set of equivalent atoms:
Ca  0.250  0.250  0.000 (multiplicity 8)
La  0.000  0.000  0.002 (multiplicity 4)
La  0.000  0.000  0.497 (multiplicity 4)
La  0.000  0.248  0.250 (multiplicity 8)
La  0.247  0.000  0.250 (multiplicity 8)
Co  0.000  0.000  0.250 (multiplicity 4)
Ru  0.000  0.000  0.749 (multiplicity 4)

Summary:
Total energy = -0.1876 hartree per atom
Mass density = 5.1 g cm⁻³
DOS at the Fermi energy = 44.13 states/eV per cell
V = 35.21 Å³ per atom

***

Material: K8Li31Al8O32
Method: DFT, PBE-GGA
State: optimized geometry

Lattice parameters (Å, degrees): 5.622 10.741 15.456 90.31 90.00 100.27
Space group P1 (No. 1)
One atom of each set of equivalent atoms:
K  0.000  0.000  0.000 (multiplicity 1)
K  0.004  0.559  0.220 (multiplicity 1)
K  0.241  0.897  0.361 (multiplicity 1)
K  0.264  0.459  0.591 (multiplicity 1)
K  0.483  0.493  0.088 (multiplicity 1)
K  0.515  0.078  0.888 (multiplicity 1)
K  0.746  0.391  0.727 (multiplicity 1)
K  0.760  0.961  0.495 (multiplicity 1)
Li  0.012  0.307  0.309 (multiplicity 1)
Li  0.020  0.257  0.862 (multiplicity 1)
Li  0.041  0.862  0.633 (multiplicity 1)
Li  0.108  0.774  0.870 (multiplicity 1)
Li  0.116  0.238  0.132 (multiplicity 1)
Li  0.146  0.692  0.715 (multiplicity 1)
Li  0.148  0.223  0.444 (multiplicity 1)
Li  0.207  0.600  0.952 (multiplicity 1)
Li  0.235  0.154  0.269 (multiplicity 1)
Li  0.248  0.208  0.728 (multiplicity 1)
Li  0.257  0.756  0.530 (multiplicity 1)
Li  0.309  0.998  0.168 (multiplicity 1)
Li  0.329  0.603  0.412 (multiplicity 1)
Li  0.419  0.358  0.912 (multiplicity 1)
Li  0.445  0.966  0.673 (multiplicity 1)
Li  0.508  0.748  0.227 (multiplicity 1)
Li  0.514  0.814  0.775 (multiplicity 1)
Li  0.540  0.359  0.453 (multiplicity 1)
Li  0.602  0.735  0.946 (multiplicity 1)
Li  0.608  0.275  0.215 (multiplicity 1)
Li  0.643  0.188  0.368 (multiplicity 1)
Li  0.648  0.728  0.639 (multiplicity 1)
Li  0.700  0.115  0.124 (multiplicity 1)
Li  0.739  0.658  0.809 (multiplicity 1)
Li  0.743  0.710  0.360 (multiplicity 1)
Li  0.757  0.255  0.555 (multiplicity 1)
Li  0.805  0.507  0.912 (multiplicity 1)
Li  0.830  0.105  0.675 (multiplicity 1)
Li  0.918  0.854  0.175 (multiplicity 1)
Li  0.945  0.460  0.416 (multiplicity 1)
Li  0.985  0.701  0.056 (multiplicity 1)
Al  0.306  0.530  0.807 (multiplicity 1)
Al  0.319  0.113  0.565 (multiplicity 1)
Al  0.429  0.835  0.071 (multiplicity 1)
Al  0.446  0.433  0.309 (multiplicity 1)
Al  0.803  0.029  0.272 (multiplicity 1)
Al  0.819  0.613  0.519 (multiplicity 1)
Al  0.913  0.352  0.016 (multiplicity 1)
Al  0.946  0.937  0.779 (multiplicity 1)
O  0.012  0.653  0.426 (multiplicity 1)
O  0.036  0.594  0.828 (multiplicity 1)
O  0.048  0.179  0.576 (multiplicity 1)
O  0.170  0.282  0.993 (multiplicity 1)
O  0.215  0.874  0.758 (multiplicity 1)
O  0.232  0.801  0.162 (multiplicity 1)
O  0.250  0.405  0.402 (multiplicity 1)
O  0.258  0.367  0.785 (multiplicity 1)
O  0.268  0.773  0.977 (multiplicity 1)
O  0.273  0.944  0.555 (multiplicity 1)
O  0.292  0.333  0.226 (multiplicity 1)
O  0.463  0.634  0.728 (multiplicity 1)
O  0.478  0.183  0.474 (multiplicity 1)
O  0.493  0.001  0.059 (multiplicity 1)
O  0.495  0.597  0.291 (multiplicity 1)
O  0.497  0.557  0.901 (multiplicity 1)
O  0.513  0.155  0.657 (multiplicity 1)
O  0.533  0.092  0.254 (multiplicity 1)
O  0.550  0.681  0.507 (multiplicity 1)
O  0.693  0.766  0.083 (multiplicity 1)
O  0.715  0.370  0.330 (multiplicity 1)
O  0.743  0.322  0.918 (multiplicity 1)
O  0.752  0.910  0.685 (multiplicity 1)
O  0.754  0.865  0.294 (multiplicity 1)
O  0.772  0.444  0.531 (multiplicity 1)
O  0.789  0.834  0.859 (multiplicity 1)
O  0.795  0.292  0.116 (multiplicity 1)
O  0.963  0.130  0.353 (multiplicity 1)
O  0.969  0.521  0.029 (multiplicity 1)
O  0.978  0.687  0.610 (multiplicity 1)
O  0.995  0.101  0.798 (multiplicity 1)
O  0.998  0.055  0.178 (multiplicity 1)

Summary:
Total energy = -0.1970 hartree per atom
ΔE_f (raw) = -2.1098 eV/atom
Mass density = 2.3 g cm⁻³
DOS at the Fermi energy = 33.27 states/eV per cell
V = 11.62 Å³ per atom

***

Material: GeRuBr2
Method: DFT, PBE-GGA
State: optimized geometry

Lattice parameters (Å, degrees): 6.285 6.285 11.388 90.00 90.00 90.00
Space group I-42d (No. 122)
One atom of each set of equivalent atoms:
Ge  0.000  0.000  0.000 (multiplicity 4)
Ru  0.000  0.000  0.500 (multiplicity 4)
Br  0.197  0.250  0.625 (multiplicity 8)

Summary:
Offset from the most stable computed form = 154 meV per atom
Total energy = -0.1316 hartree per atom
ΔE_f (raw) = 0.7300 eV/atom
Mass density = 4.9 g cm⁻³
DOS at the Fermi energy = 12.53 states/eV per cell
V = 28.11 Å³ per atom

***

Material: Li2MgTa3N6
Method: DFT, PBE-GGA
State: optimized geometry

Lattice parameters (Å, degrees): 13.531 3.083 6.250 90.00 104.25 90.00
Space group C2/m (No. 12)
One atom of each set of equivalent atoms:
Li  0.167  0.000  0.335 (multiplicity 4)
Mg  0.000  0.500  0.000 (multiplicity 2)
Ta  0.000  0.500  0.500 (multiplicity 2)
Ta  0.172  0.000  0.824 (multiplicity 4)
N  0.005  0.000  0.743 (multiplicity 4)
N  0.162  0.500  0.595 (multiplicity 4)
N  0.170  0.500  0.066 (multiplicity 4)

Summary:
Total energy = -0.3178 hartree per atom
ΔE_f (raw) = -1.0708 eV/atom
Mass density = 8.7 g cm⁻³
DOS at the Fermi energy = 4.35 states/eV per cell
V = 10.53 Å³ per atom

***

Material: YbAgO2
Method: DFT, PBE-GGA
State: optimized geometry

Lattice parameters (Å, degrees): 3.5121 3.5121 18.7647 90.00 90.00 120.00
Space group R-3m (No. 166, hexagonal axes)
One atom of each set of equivalent atoms:
Yb  0.0000  0.0000  0.0000 (multiplicity 3)
Ag  0.0000  0.0000  0.5000 (multiplicity 3)
O  0.0000  0.0000  0.3901 (multiplicity 6)

Summary:
Total energy = -0.1974 hartree per atom
ΔE_f (raw) = -1.7994 eV/atom
Mass density = 7.8 g cm⁻³
DOS at the Fermi energy = 17.89 states/eV per cell
V = 16.70 Å³ per atom

***

Material: LiSc4Ru3
Method: DFT, PBE-GGA
State: optimized geometry

Lattice parameters (Å, degrees): 4.5999 4.5999 22.2746 90.00 90.00 120.00
Space group R-3m (No. 166, hexagonal axes)
One atom of each set of equivalent atoms:
Li  0.0000  0.0000  0.0000 (multiplicity 3)
Sc  0.0000  0.0000  0.1284 (multiplicity 6)
Sc  0.0000  0.0000  0.3779 (multiplicity 6)
Ru  0.0000  0.0000  0.2516 (multiplicity 6)
Ru  0.0000  0.0000  0.5000 (multiplicity 3)

Summary:
Total energy = -0.2700 hartree per atom
Mass density = 6.0 g cm⁻³
DOS at the Fermi energy = 14.43 states/eV per cell
V = 17.01 Å³ per atom

***

Material: LiVRh
Method: DFT, PBE-GGA
State: optimized geometry

Lattice parameters (Å, degrees): 4.1266 4.1266 2.6899 90.00 90.00 120.00
Space group P3m1 (No. 156)
One atom of each set of equivalent atoms:
Li  0.0000  0.0000  0.0000 (multiplicity 1)
V  0.3333  0.6667  0.6400 (multiplicity 1)
Rh  0.6667  0.3333  0.3526 (multiplicity 1)

Summary:
Offset from the most stable computed form = 221 meV per atom
Total energy = -0.2280 hartree per atom
Mass density = 6.7 g cm⁻³
DOS at the Fermi energy = 3.99 states/eV per cell
V = 13.22 Å³ per atom

***

Material: AcSm2Zn2
Method: DFT, PBE-GGA
State: optimized geometry

Lattice parameters (Å, degrees): 3.819 20.553 3.717 90.00 90.00 90.00
Space group Cmmm (No. 65)
One atom of each set of equivalent atoms:
Ac  0.000  0.000  0.000 (multiplicity 2)
Sm  0.000  0.178  0.000 (multiplicity 4)
Zn  0.000  0.398  0.500 (multiplicity 4)

Summary:
Offset from the most stable computed form = 40 meV per atom
Total energy = -0.1231 hartree per atom
Mass density = 7.5 g cm⁻³
DOS at the Fermi energy = 10.94 states/eV per cell
V = 29.17 Å³ per atom

***

Copy entry 11 word for word.
Material: AcSm2Zn2
Method: DFT, PBE-GGA
State: optimized geometry

Lattice parameters (Å, degrees): 3.819 20.553 3.717 90.00 90.00 90.00
Space group Cmmm (No. 65)
One atom of each set of equivalent atoms:
Ac  0.000  0.000  0.000 (multiplicity 2)
Sm  0.000  0.178  0.000 (multiplicity 4)
Zn  0.000  0.398  0.500 (multiplicity 4)

Summary:
Offset from the most stable computed form = 40 meV per atom
Total energy = -0.1231 hartree per atom
Mass density = 7.5 g cm⁻³
DOS at the Fermi energy = 10.94 states/eV per cell
V = 29.17 Å³ per atom

***

- Number 5 is which compound?
  K8Li31Al8O32

***

- What is the total energy in the fifth record?
  -0.1970 hartree per atom

***

- Which value of total energy does entry 8 give?
  -0.1974 hartree per atom